Here is a relaxed structure of RbCoBr2 from Alexandria. Energies are from PBE-GGA.

Summary:
The calculated volume comes out at 200 Å³/cell. Its uncorrected formation energy is -0.596 eV per atom. As for the energy relative to the lowest polymorph listed for this composition: 64 meV per atom. As for the total DFT energy (no corrections): -3.451 eV/atom. For the density of states at the Fermi level, the calculation gives 0.0 states/eV/f.u.

The structure in CIF format:
```
data_RbCoBr2
_chemical_formula_sum 'Rb1 Co1 Br2'
_symmetry_space_group_name_H-M 'P 1'
_symmetry_Int_Tables_number 1
_cell_length_a 8.0970
_cell_length_b 8.0970
_cell_length_c 8.0970
_cell_angle_alpha 40.25
_cell_angle_beta 40.25
_cell_angle_gamma 40.25
loop_
_symmetry_equiv_pos_as_xyz
'x,y,z'
loop_
_atom_site_label
_atom_site_fract_x
_atom_site_fract_y
_atom_site_fract_z
_atom_site_occupancy
Rb1 0.0000 0.0000 0.0000 1
Co1 0.5000 0.5000 0.5000 1
Br1 0.3977 0.3977 0.3977 1
Br2 0.6023 0.6023 0.6023 1
```